Entry from Alexandria via LeMat-Bulk: a geometry-optimized NdHg8 structure (GGA-PBE).

Structure (POSCAR):
```
NdHg8
1.0
-4.904 4.904 2.402
4.904 -4.904 2.402
4.904 4.904 -2.402
Nd Hg
1 8
direct
0.000 0.000 0.000
0.000 0.336 0.336
0.000 0.664 0.664
0.332 0.332 0.663
0.332 0.668 0.000
0.336 0.000 0.336
0.664 0.000 0.664
0.668 0.332 0.000
0.668 0.668 0.337
```

Formation energy from the elements, eV/atom: -0.167
E, eV/f.u.: -8.69
D(E_F), states/eV per cell: 3.84
Mass density, Mg/m³: 12.6